Crystalline AcCd4Rh2 at its relaxed geometry. Source: the Alexandria database, functional PBE.

abc: 4.3437 16.7623 4.3340
angles: 90.00 90.00 90.00
Closest atoms and distances in Å follow each position.
Space group Cmmm (No. 65)
One atom of each set of equivalent atoms:
Ac1 0.0000 0.0000 0.0000  8 Rh 3.31, 4 Cd 3.71
Cd1 0.0000 0.1806 0.5000  2 Rh 2.80, 4 Cd 3.07
Cd2 0.0000 0.3208 0.0000  2 Rh 2.79, 4 Cd 3.07
Rh1 0.0000 0.4253 0.5000  1 Rh 2.50, 4 Cd 2.79-2.80

Calculated values
V ... 22.5 Å³/atom
Energy relative to the lowest polymorph listed for this composition ... 0.061 eV per atom
Magnetization ... 0.0 μB/f.u.
ΔE_f ... -289 meV/atom

=====

Crystalline Ac12Cd5Rh3 at its relaxed geometry. Source: the Alexandria database, functional PBE.

abc: 18.6672 18.6672 18.6672
angles: 90.00 90.00 90.00
Closest atoms and distances in Å follow each position.
Space group Ia-3d (No. 230)
One atom of each set of equivalent atoms:
Ac1 0.0200 0.0906 0.6472  1 Rh 3.03, 2 Cd 3.22-3.25
Cd1 0.0000 0.0000 0.0000  6 Ac 3.25
Cd2 0.0000 0.2500 0.3750  4 Ac 3.22
Rh1 0.0000 0.2500 0.1250  4 Ac 3.03

Calculated values
V ... 40.7 Å³/atom
Magnetization ... 0.0 μB/f.u.
ΔE_f ... 125 meV/atom